Record 1
Below is a relaxed RbDyCuTe3 crystal, with properties calculated at the PBE-GGA level.

## Properties
final energy: -4.036 eV per atom
density: 5.70 Mg/m³
space-group type: No. 63

Cell lengths 8.7330, 8.7330, 11.3176 Å; angles 90.00, 90.00, 152.03 degrees
Element x y z (fractional)
Cu: 0.4688 0.5312 0.2500
Cu: 0.5312 0.4688 0.7500
Dy: 0.0000 0.0000 0.0000
Dy: 0.0000 0.0000 0.5000
Rb: 0.7454 0.2546 0.2500
Rb: 0.2546 0.7454 0.7500
Te: 0.3758 0.6242 0.0645
Te: 0.0664 0.9336 0.2500
Te: 0.3758 0.6242 0.4355
Te: 0.6242 0.3758 0.5645
Te: 0.9336 0.0664 0.7500
Te: 0.6242 0.3758 0.9355

***

Record 2
Below is a relaxed AlMoW2 crystal, with properties calculated at the PBE-GGA level.

## Properties
final energy: -10.257 eV per atom
density: 13.08 Mg/m³
space-group type: No. 40

Cell lengths 5.0170, 4.9826, 4.9826 Å; angles 89.99, 90.00, 90.00 degrees
Element x y z (fractional)
Al: 0.2500 0.9996 0.5004
Al: 0.7500 0.5004 0.9996
Mo: 0.2500 0.7499 0.0006
Mo: 0.7500 0.0006 0.7499
W: 0.2500 0.2502 0.0006
W: 0.7500 0.0006 0.2502
W: 0.0000 0.4994 0.4994
W: 0.5000 0.4994 0.4994

***

Record 3
Below is a relaxed AlCuGe2 crystal, with properties calculated at the PBE-GGA level.

## Properties
final energy: -3.914 eV per atom
density: 5.83 Mg/m³
space-group type: No. 216

Cell lengths 4.5633, 4.5633, 4.5633 Å; angles 60.00, 60.00, 60.00 degrees
Element x y z (fractional)
Al: 0.5000 0.5000 0.5000
Cu: 0.2500 0.2500 0.2500
Ge: 0.0000 0.0000 0.0000
Ge: 0.7500 0.7500 0.7500

***

Record 4
Below is a relaxed KRbGd2P2 crystal, with properties calculated at the PBE-GGA level.

## Properties
final energy: -4.395 eV per atom
density: 4.24 Mg/m³
space-group type: No. 99

Cell lengths 5.0190, 5.0190, 7.7876 Å; angles 90.00, 90.00, 90.00 degrees
Element x y z (fractional)
Gd: 0.5000 0.0000 0.0031
Gd: 0.0000 0.5000 0.0031
K: 0.0000 0.0000 0.3836
P: 0.5000 0.5000 0.1687
P: 0.0000 0.0000 0.8280
Rb: 0.5000 0.5000 0.6136

***

Record 5
Below is a relaxed BaPrU crystal, with properties calculated at the PBE-GGA level.

## Properties
final energy: -4.507 eV per atom
density: 6.28 Mg/m³
space-group type: No. 216

Cell lengths 5.7785, 5.7785, 5.7785 Å; angles 60.00, 60.00, 60.00 degrees
Element x y z (fractional)
Ba: 0.2500 0.2500 0.2500
Pr: 0.7500 0.7500 0.7500
U: 0.0000 0.0000 0.0000

***

Record 6
Below is a relaxed ErZnTe3Pb crystal, with properties calculated at the PBE-GGA level.

## Properties
final energy: -3.822 eV per atom
density: 7.64 Mg/m³
space-group type: No. 63

Cell lengths 7.6755, 7.6755, 11.1880 Å; angles 90.00, 90.00, 147.16 degrees
Element x y z (fractional)
Er: 0.0000 0.0000 0.0000
Er: 0.0000 0.0000 0.5000
Pb: 0.7821 0.2179 0.2500
Pb: 0.2179 0.7821 0.7500
Te: 0.3576 0.6424 0.0519
Te: 0.0878 0.9122 0.2500
Te: 0.3576 0.6424 0.4481
Te: 0.6424 0.3576 0.5519
Te: 0.9122 0.0878 0.7500
Te: 0.6424 0.3576 0.9481
Zn: 0.4701 0.5299 0.2500
Zn: 0.5299 0.4701 0.7500

***

Record 7
Below is a relaxed GdBNO crystal, with properties calculated at the PBE-GGA level.

## Properties
final energy: -7.198 eV per atom
density: 7.12 Mg/m³
space-group type: No. 129

Cell lengths 3.6053, 3.6053, 7.1059 Å; angles 90.00, 90.00, 90.00 degrees
Element x y z (fractional)
B: 0.7500 0.2500 0.5000
B: 0.2500 0.7500 0.5000
Gd: 0.2500 0.2500 0.1754
Gd: 0.7500 0.7500 0.8246
N: 0.7500 0.7500 0.4815
N: 0.2500 0.2500 0.5186
O: 0.7500 0.2500 0.0000
O: 0.2500 0.7500 0.0000

***

Record 8
Below is a relaxed CsHfAgTeSe2 crystal, with properties calculated at the PBE-GGA level.

## Properties
final energy: -4.895 eV per atom
density: 6.30 Mg/m³
space-group type: No. 63

Cell lengths 8.6658, 8.6658, 10.9428 Å; angles 90.00, 90.00, 153.10 degrees
Element x y z (fractional)
Ag: 0.5392 0.4608 0.2500
Ag: 0.4608 0.5392 0.7500
Cs: 0.2357 0.7643 0.2500
Cs: 0.7643 0.2357 0.7500
Hf: 0.0000 0.0000 0.0000
Hf: 0.0000 0.0000 0.5000
Se: 0.6074 0.3926 0.0375
Se: 0.6074 0.3926 0.4625
Se: 0.3926 0.6074 0.5375
Se: 0.3926 0.6074 0.9625
Te: 0.9270 0.0730 0.2500
Te: 0.0730 0.9270 0.7500

***

Record 9
Below is a relaxed CsHg2Bi2 crystal, with properties calculated at the PBE-GGA level.

## Properties
final energy: -2.066 eV per atom
density: 8.79 Mg/m³
space-group type: No. 139

Cell lengths 7.3742, 7.3742, 7.3742 Å; angles 137.65, 137.65, 61.44 degrees
Element x y z (fractional)
Bi: 0.3745 0.3745 0.0000
Bi: 0.6255 0.6255 0.0000
Cs: 0.0000 0.0000 0.0000
Hg: 0.7500 0.2500 0.5000
Hg: 0.2500 0.7500 0.5000

***

Record 10
Below is a relaxed Gd2CdAs2 crystal, with properties calculated at the PBE-GGA level.

## Properties
final energy: -4.799 eV per atom
density: 7.98 Mg/m³
space-group type: No. 36

Cell lengths 9.1885, 9.1885, 6.4696 Å; angles 90.00, 90.00, 153.94 degrees
Element x y z (fractional)
As: 0.1862 0.8138 0.4015
As: 0.4164 0.5836 0.4773
As: 0.8138 0.1862 0.9015
As: 0.5836 0.4164 0.9773
Cd: 0.3914 0.6086 0.0626
Cd: 0.6086 0.3914 0.5626
Gd: 0.0209 0.9791 0.2569
Gd: 0.8018 0.1982 0.4360
Gd: 0.9791 0.0209 0.7569
Gd: 0.1982 0.8018 0.9360

***

Record 11
Below is a relaxed TmFeB crystal, with properties calculated at the PBE-GGA level.

## Properties
final energy: -5.163 eV per atom
density: 7.67 Mg/m³
space-group type: No. 216

Cell lengths 4.1636, 4.1636, 4.1636 Å; angles 60.00, 60.00, 60.00 degrees
Element x y z (fractional)
B: 0.2500 0.2500 0.2500
Fe: 0.7500 0.7500 0.7500
Tm: 0.0000 0.0000 0.0000

***

Record 12
Below is a relaxed BeFeBPd crystal, with properties calculated at the PBE-GGA level.

## Properties
final energy: -5.597 eV per atom
density: 7.13 Mg/m³
space-group type: No. 216

Cell lengths 3.9148, 3.9148, 3.9148 Å; angles 60.00, 60.00, 60.00 degrees
Element x y z (fractional)
B: 0.0000 0.0000 0.0000
Be: 0.2500 0.2500 0.2500
Fe: 0.7500 0.7500 0.7500
Pd: 0.5000 0.5000 0.5000